Record 1
# Hg4TeSe6 | Alexandria via LeMat-Bulk | PBE | relaxed
# Energy, eV per atom: -2.34
data_Hg4TeSe6
_space_group_name_H-M_alt 'C 1 c 1'
_space_group_IT_number 9
_cell_length_a 13.519
_cell_length_b 8.549
_cell_length_c 13.272
_cell_angle_alpha 90.00
_cell_angle_beta 115.33
_cell_angle_gamma 90.00
loop_
_space_group_symop_operation_xyz
'x,y,z'
'x,-y,z+1/2'
'x+1/2,y+1/2,z'
'x+1/2,-y+1/2,z+1/2'
loop_
_atom_site_label
_atom_site_type_symbol
_atom_site_fract_x
_atom_site_fract_y
_atom_site_fract_z
Hg1 Hg 0.000 0.028 0.000
Hg2 Hg 0.037 0.468 0.906
Hg3 Hg 0.234 0.269 0.244
Hg4 Hg 0.280 0.075 0.592
Te1 Te 0.260 0.231 0.866
Se1 Se 0.027 0.306 0.076
Se2 Se 0.145 0.240 0.656
Se3 Se 0.161 0.087 0.375
Se4 Se 0.239 0.473 0.409
Se5 Se 0.397 0.162 0.207
Se6 Se 0.465 0.291 0.865


Record 2
# La3Sm2Sn2 | Alexandria via LeMat-Bulk | PBE | relaxed
# Calculated formation energy, eV per atom: -0.32
data_La3Sm2Sn2
_space_group_name_H-M_alt 'C 1 2/m 1'
_space_group_IT_number 12
_cell_length_a 17.230
_cell_length_b 3.590
_cell_length_c 8.257
_cell_angle_alpha 90.00
_cell_angle_beta 116.59
_cell_angle_gamma 90.00
loop_
_space_group_symop_operation_xyz
'x,y,z'
'-x,-y,-z'
'-x,y,-z'
'x,-y,z'
'x+1/2,y+1/2,z'
'-x+1/2,-y+1/2,-z'
'-x+1/2,y+1/2,-z'
'x+1/2,-y+1/2,z'
loop_
_atom_site_label
_atom_site_type_symbol
_atom_site_fract_x
_atom_site_fract_y
_atom_site_fract_z
La1 La 0.000 0.000 0.000
La2 La 0.210 0.000 0.150
Sm1 Sm 0.109 0.000 0.470
Sn1 Sn 0.081 0.500 0.768